# 1
YAlCo2 | PBE | optimized geometry

Unit cell a=9.6831 b=3.0765 c=4.4352 alpha=90.00 beta=109.04 gamma=90.00
Last column: nearest neighbours and their distance in Å.
Atoms (fractional coordinates):
1 Y 0.0000 0.0000 0.0000  7 Co 2.67-2.88, 1 Al 2.98
2 Y 0.5000 0.5000 0.0000  7 Co 2.67-2.88, 1 Al 2.98
3 Al 0.2803 0.5000 0.3472  7 Co 2.62-2.89
4 Al 0.7803 0.0000 0.3472  7 Co 2.62-2.89
5 Co 0.0122 0.5000 0.4992  2 Co 2.61, 3 Al 2.62-2.89, 4 Y 2.67-2.74
6 Co 0.2344 0.0000 0.7837  2 Co 2.61, 4 Al 2.62-2.84, 3 Y 2.74-2.88
7 Co 0.5122 0.0000 0.4992  2 Co 2.61, 3 Al 2.62-2.89, 4 Y 2.67-2.74
8 Co 0.7344 0.5000 0.7837  2 Co 2.61, 4 Al 2.62-2.84, 3 Y 2.74-2.88

Output
ρ: 6.22 g/cm³
energy of formation: -0.07 eV/atom
calculated total energy: -6.177 eV per atom


# 2
ScFePCl2 | PBE | optimized geometry

Unit cell a=4.7745 b=4.7745 c=5.3953 alpha=90.00 beta=90.00 gamma=90.00
Last column: nearest neighbours and their distance in Å.
Atoms (fractional coordinates):
1 Sc 0.0000 0.0000 0.0000  4 Cl 2.39
2 Fe 0.5000 0.5000 0.5000  4 P 3.38, 8 Cl 3.60
3 P 0.0000 0.0000 0.5000  2 Sc 2.70
4 Cl 0.0000 0.5000 0.0000  2 Sc 2.39
5 Cl 0.5000 0.0000 0.0000  2 Sc 2.39

Output
formation energy without anion corrections: -1.06 eV/f.u.
ρ: 2.74 g/cm³
calculated total energy: -4.991 eV per atom


# 3
Ac2BiAs3Pt4 | PBE | optimized geometry

Unit cell a=4.5945 b=4.5945 c=10.5797 alpha=90.00 beta=90.00 gamma=90.00
Last column: nearest neighbours and their distance in Å.
Atoms (fractional coordinates):
1 Ac 0.0000 0.5000 0.2320  8 Pt 3.36-3.50, 7 As 3.45-3.74, 2 Bi 3.65
2 Ac 0.5000 0.0000 0.7680  8 Pt 3.36-3.50, 7 As 3.45-3.74, 2 Bi 3.65
3 Bi 0.0000 0.0000 0.5000  4 Pt 2.77
4 As 0.0000 0.5000 0.8789  5 Pt 2.47-2.63
5 As 0.5000 0.0000 0.1211  5 Pt 2.47-2.63
6 As 0.5000 0.5000 0.5000  4 Pt 2.77
7 Pt 0.0000 0.0000 0.0000  4 As 2.63
8 Pt 0.0000 0.5000 0.6455  3 As 2.47-2.77, 2 Bi 2.77
9 Pt 0.5000 0.0000 0.3545  3 As 2.47-2.77, 2 Bi 2.77
10 Pt 0.5000 0.5000 0.0000  4 As 2.63

Output
ρ: 12.40 g/cm³
energy of formation: -0.83 eV/atom
calculated total energy: -5.848 eV per atom


# 4
GeAsPt2 | PBE | optimized geometry

Unit cell a=6.4349 b=6.4349 c=6.4349 alpha=90.00 beta=90.00 gamma=90.00
Last column: nearest neighbours and their distance in Å.
Atoms (fractional coordinates):
1 Ge 0.0000 0.0000 0.0000  8 Pt 2.79
2 Ge 0.0000 0.5000 0.5000  8 Pt 2.79
3 Ge 0.5000 0.0000 0.5000  8 Pt 2.79
4 Ge 0.5000 0.5000 0.0000  8 Pt 2.79
5 As 0.0000 0.0000 0.5000  8 Pt 2.79
6 As 0.0000 0.5000 0.0000  8 Pt 2.79
7 As 0.5000 0.0000 0.0000  8 Pt 2.79
8 As 0.5000 0.5000 0.5000  8 Pt 2.79
9 Pt 0.2500 0.2500 0.2500  4 Ge 2.79, 4 As 2.79
10 Pt 0.2500 0.2500 0.7500  4 Ge 2.79, 4 As 2.79
11 Pt 0.2500 0.7500 0.2500  4 Ge 2.79, 4 As 2.79
12 Pt 0.2500 0.7500 0.7500  4 Ge 2.79, 4 As 2.79
13 Pt 0.7500 0.2500 0.2500  4 Ge 2.79, 4 As 2.79
14 Pt 0.7500 0.2500 0.7500  4 Ge 2.79, 4 As 2.79
15 Pt 0.7500 0.7500 0.2500  4 Ge 2.79, 4 As 2.79
16 Pt 0.7500 0.7500 0.7500  4 As 2.79, 4 Ge 2.79

Output
ρ: 13.40 g/cm³
energy of formation: -0.07 eV/atom
calculated total energy: -5.411 eV per atom


# 5
ErTeS | PBE | optimized geometry

Unit cell a=3.8755 b=3.8755 c=7.6047 alpha=90.00 beta=90.00 gamma=120.00
Last column: nearest neighbours and their distance in Å.
Atoms (fractional coordinates):
1 Er 0.0000 0.0000 0.0000  3 S 2.59
2 Te 0.3333 0.6667 0.6941  3 Er 3.23
3 S 0.6667 0.3333 0.1705  3 Er 2.59

Output
formation energy without anion corrections: -3.89 eV/f.u.
ρ: 5.49 g/cm³
calculated total energy: -5.240 eV per atom


# 6
V7Ga3Au | PBE | optimized geometry

Unit cell a=9.0580 b=9.0580 c=14.2353 alpha=90.00 beta=90.00 gamma=163.37
Last column: nearest neighbours and their distance in Å.
Atoms (fractional coordinates):
1 V 0.0021 0.9979 0.5817  2 V 2.33-2.39
2 V 0.0021 0.9979 0.9183  2 V 2.33-2.39
3 V 0.1207 0.8793 0.6586  5 V 2.39-2.62, 2 Ga 2.66
4 V 0.1207 0.8793 0.8414  5 V 2.39-2.62, 2 Ga 2.66
5 V 0.1347 0.8653 0.2500  1 Ga 2.47, 2 V 2.62, 2 Au 2.71
6 V 0.2436 0.7564 0.5854  3 V 2.44-2.62, 3 Ga 2.63-2.70
7 V 0.2436 0.7564 0.9146  3 V 2.44-2.62, 3 Ga 2.63-2.70
8 V 0.7564 0.2436 0.0854  3 V 2.44-2.62, 3 Ga 2.63-2.70
9 V 0.7564 0.2436 0.4146  3 V 2.44-2.62, 3 Ga 2.63-2.70
10 V 0.8653 0.1347 0.7500  1 Ga 2.47, 2 V 2.62, 2 Au 2.71
11 V 0.8793 0.1207 0.1586  5 V 2.39-2.62, 2 Ga 2.66
12 V 0.8793 0.1207 0.3414  5 V 2.39-2.62, 2 Ga 2.66
13 V 0.9979 0.0021 0.0817  2 V 2.33-2.39
14 V 0.9979 0.0021 0.4183  2 V 2.33-2.39
15 Ga 0.2723 0.7277 0.2500  9 V 2.47-2.70, 2 Ga 2.62
16 Ga 0.3778 0.6222 0.5108  2 Ga 2.62, 9 V 2.63-2.89
17 Ga 0.3778 0.6222 0.9892  2 Ga 2.62, 9 V 2.63-2.89
18 Ga 0.6222 0.3778 0.0108  2 Ga 2.62, 9 V 2.63-2.89
19 Ga 0.6222 0.3778 0.4892  2 Ga 2.62, 9 V 2.63-2.89
20 Ga 0.7277 0.2723 0.7500  9 V 2.47-2.70, 2 Ga 2.62
21 Au 0.4978 0.5022 0.7500  2 Au 2.62, 10 V 2.71-2.87
22 Au 0.5022 0.4978 0.2500  2 Au 2.62, 10 V 2.71-2.87

Output
ρ: 7.58 g/cm³
energy of formation: 0.21 eV/atom
calculated total energy: -6.717 eV per atom


# 7
HfGe3Mo | PBE | optimized geometry

Unit cell a=5.0195 b=5.0195 c=5.0195 alpha=90.00 beta=90.00 gamma=90.00
Last column: nearest neighbours and their distance in Å.
Atoms (fractional coordinates):
1 Hf 0.0000 0.0000 0.0000  6 Ge 2.51
2 Ge 0.0000 0.0000 0.5000  2 Hf 2.51
3 Ge 0.0000 0.5000 0.0000  2 Hf 2.51
4 Ge 0.5000 0.0000 0.0000  2 Hf 2.51
5 Mo 0.5000 0.5000 0.5000  12 Ge 3.55

Output
ρ: 6.46 g/cm³
energy of formation: 1.37 eV/atom
calculated total energy: -5.559 eV per atom


# 8
Sc2MoOs | PBE | optimized geometry

Unit cell a=4.5919 b=4.5919 c=6.5272 alpha=90.00 beta=90.00 gamma=90.00
Last column: nearest neighbours and their distance in Å.
Atoms (fractional coordinates):
1 Sc 0.0000 0.0000 0.0000  4 Mo 2.82, 4 Sc 2.82
2 Sc 0.0000 0.5000 0.2500  4 Os 2.82, 4 Sc 2.82
3 Sc 0.5000 0.0000 0.7500  4 Os 2.82, 4 Sc 2.82
4 Sc 0.5000 0.5000 0.5000  4 Mo 2.82, 4 Sc 2.82
5 Mo 0.0000 0.5000 0.7500  4 Os 2.82, 4 Sc 2.82
6 Mo 0.5000 0.0000 0.2500  4 Os 2.82, 4 Sc 2.82
7 Os 0.0000 0.0000 0.5000  4 Mo 2.82, 4 Sc 2.82
8 Os 0.5000 0.5000 0.0000  4 Mo 2.82, 4 Sc 2.82

Output
ρ: 9.07 g/cm³
energy of formation: -0.05 eV/atom
calculated total energy: -8.728 eV per atom